VASP calculation (GGA-PBE) on a relaxed structure of Zn2CdCu3.

symmetry: P4/mmm, No. 123
DOS(E_F): 1.7 states/eV/f.u.
DFT formation energy: -3.5 kJ/mol of atoms
calculated density: 8.48 g/cm³
magnetic moment: 0.000 μB/f.u.
total energy: -15.97 eV/f.u.

abc: 3.0501 3.0501 9.1280
angles: 90.00 90.00 90.00
Positions (direct):
Zn (0.5000, 0.5000, 0.8446)
Zn (0.5000, 0.5000, 0.1554)
Cd (0.5000, 0.5000, 0.5000)
Cu (0.0000, 0.0000, 0.0000)
Cu (0.0000, 0.0000, 0.6964)
Cu (0.0000, 0.0000, 0.3036)


VASP calculation (GGA-PBE) on a relaxed structure of HgBiPb.

distance to the lowest polymorph of the same formula: 2.9 kJ/mol of atoms
symmetry: P3m1, No. 156
DOS(E_F): 1.1 states/eV/f.u.
DFT formation energy: 4.1 kJ/mol of atoms
calculated density: 11.36 g/cm³
magnetic moment: 0.000 μB/f.u.
total energy: -7.76 eV/f.u.

abc: 3.4442 5.4981 5.4981
angles: 120.00 90.00 90.00
Positions (direct):
Pb (0.3372, 0.3333, 0.6667)
Bi (0.6880, 0.6667, 0.3333)
Hg (0.9748, 0.0000, 0.0000)


VASP calculation (GGA-PBE) on a relaxed structure of ZnTc3N.

distance to the lowest polymorph of the same formula: 3.5 kJ/mol of atoms
symmetry: Pm-3m, No. 221
DOS(E_F): 5.5 states/eV/f.u.
calculated density: 9.39 g/cm³
formation energy from raw total energies: 0.296 eV/f.u.
magnetic moment: 0.000 μB/f.u.
total energy: -40.40 eV/f.u.

abc: 4.0421 4.0421 4.0421
angles: 90.00 90.00 90.00
Positions (direct):
Zn (0.5000, 0.5000, 0.5000)
Tc (0.0000, 0.5000, 0.0000)
Tc (0.0000, 0.0000, 0.5000)
Tc (0.5000, 0.0000, 0.0000)
N (0.0000, 0.0000, 0.0000)


VASP calculation (GGA-PBE) on a relaxed structure of Sr2HoCdAu6.

symmetry: Fm-3m, No. 225
DOS(E_F): 4.3 states/eV/f.u.
DFT formation energy: -22.7 kJ/mol of atoms
calculated density: 8.70 g/cm³
magnetic moment: 0.000 μB/f.u.
total energy: -30.88 eV/f.u.

abc: 7.6139 7.6139 7.6139
angles: 60.00 60.00 90.00
Positions (direct):
Sr (0.2500, 0.7500, 0.5000)
Sr (0.7500, 0.2500, 0.5000)
Ho (0.5000, 0.5000, 0.0000)
Cd (0.0000, 0.0000, 0.0000)
Au (0.2468, 0.7532, 0.0000)
Au (0.7532, 0.7532, 0.0000)
Au (0.2468, 0.2468, 0.5063)
Au (0.7532, 0.2468, 0.0000)
Au (0.2468, 0.2468, 0.0000)
Au (0.7532, 0.7532, 0.4937)


VASP calculation (GGA-PBE) on a relaxed structure of Ac2AlSnPd6.

symmetry: P-1, No. 2
DOS(E_F): 4.4 states/eV/f.u.
DFT formation energy: -72.5 kJ/mol of atoms
calculated density: 9.22 g/cm³
magnetic moment: 0.000 μB/f.u.
total energy: -54.63 eV/f.u.

abc: 6.9908 6.7572 6.7571
angles: 49.96 78.22 98.07
Positions (direct):
Ac (0.7232, 0.2535, 0.5293)
Ac (0.2768, 0.7465, 0.4707)
Al (0.0000, 0.0000, 0.0000)
Sn (0.5000, 0.5000, 0.0000)
Pd (0.2412, 0.2465, 0.5130)
Pd (0.9065, 0.7557, 0.8465)
Pd (0.2402, 0.7528, 0.0064)
Pd (0.7598, 0.2472, 0.9936)
Pd (0.0935, 0.2443, 0.1535)
Pd (0.7588, 0.7535, 0.4870)


VASP calculation (GGA-PBE) on a relaxed structure of LaPr3N.

symmetry: Pm-3m, No. 221
DOS(E_F): 7.8 states/eV/f.u.
calculated density: 6.72 g/cm³
formation energy from raw total energies: -1.971 eV/f.u.
magnetic moment: 0.003 μB/f.u.
total energy: -29.56 eV/f.u.

abc: 5.2208 5.2208 5.2208
angles: 90.00 90.00 90.00
Positions (direct):
Pr (0.0000, 0.5000, 0.0000)
Pr (0.0000, 0.0000, 0.5000)
Pr (0.5000, 0.0000, 0.0000)
N (0.0000, 0.0000, 0.0000)
La (0.5000, 0.5000, 0.5000)


VASP calculation (GGA-PBE) on a relaxed structure of Y7HoEr2.

distance to the lowest polymorph of the same formula: 55.6 kJ/mol of atoms
symmetry: Cmmm, No. 65
DOS(E_F): 14.5 states/eV/f.u.
DFT formation energy: 67.6 kJ/mol of atoms
calculated density: 4.73 g/cm³
magnetic moment: 0.000 μB/f.u.
total energy: -51.95 eV/f.u.

abc: 5.6082 9.1084 9.1085
angles: 122.23 90.00 90.00
Positions (direct):
Y (0.0000, 0.7807, 0.2193)
Y (0.0000, 0.2193, 0.7807)
Y (0.5000, 0.0625, 0.2922)
Y (0.5000, 0.9375, 0.7078)
Y (0.5000, 0.2922, 0.0625)
Y (0.5000, 0.7078, 0.9375)
Y (0.5000, 0.5000, 0.5000)
Ho (0.0000, 0.0000, 0.0000)
Er (0.5000, 0.7040, 0.2960)
Er (0.5000, 0.2960, 0.7040)


VASP calculation (GGA-PBE) on a relaxed structure of CaZnS3.

distance to the lowest polymorph of the same formula: 75.5 kJ/mol of atoms
symmetry: Pm-3m, No. 221
DOS(E_F): 5.5 states/eV/f.u.
calculated density: 2.25 g/cm³
formation energy from raw total energies: 1.360 eV/f.u.
magnetic moment: 3.057 μB/f.u.
total energy: -14.30 eV/f.u.

abc: 5.2980 5.2980 5.2980
angles: 90.00 90.00 90.00
Last column: magnetic moment on the atom in μB.
Positions (direct):
S (0.0000, 0.5000, 0.0000)  0.68
S (0.0000, 0.0000, 0.5000)  0.64
S (0.5000, 0.0000, 0.0000)  0.52
Zn (0.5000, 0.5000, 0.5000)  0.06
Ca (0.0000, 0.0000, 0.0000)  -0.01


VASP calculation (GGA-PBE) on a relaxed structure of Sr3ZrSb.

distance to the lowest polymorph of the same formula: 40.3 kJ/mol of atoms
symmetry: Pm-3m, No. 221
DOS(E_F): 8.5 states/eV/f.u.
calculated density: 3.85 g/cm³
formation energy from raw total energies: 3.548 eV/f.u.
magnetic moment: 2.104 μB/f.u.
total energy: -14.17 eV/f.u.

abc: 5.9010 5.9010 5.9010
angles: 90.00 90.00 90.00
Last column: magnetic moment on the atom in μB.
Positions (direct):
Sb (0.5000, 0.5000, 0.5000)  0.04
Zr (0.0000, 0.0000, 0.0000)  0.95
Sr (0.0000, 0.5000, 0.0000)  0.10
Sr (0.0000, 0.0000, 0.5000)  0.09
Sr (0.5000, 0.0000, 0.0000)  0.07


VASP calculation (GGA-PBE) on a relaxed structure of LaSnSb.

distance to the lowest polymorph of the same formula: 18.7 kJ/mol of atoms
symmetry: P-6m2, No. 187
DOS(E_F): 2.2 states/eV/f.u.
calculated density: 6.83 g/cm³
formation energy from raw total energies: -1.753 eV/f.u.
magnetic moment: 0.000 μB/f.u.
total energy: -14.81 eV/f.u.

abc: 4.0611 5.1209 5.1209
angles: 120.00 90.00 90.00
Positions (direct):
Sb (0.8333, 0.6667, 0.3333)
Sn (0.8334, 0.0000, 0.0000)
La (0.3334, 0.3333, 0.6667)


VASP calculation (GGA-PBE) on a relaxed structure of Pr2Tm3Sb2.

symmetry: C2/m, No. 12
DOS(E_F): 8.9 states/eV/f.u.
calculated density: 8.05 g/cm³
formation energy from raw total energies: -4.513 eV/f.u.
magnetic moment: 0.000 μB/f.u.
total energy: -35.73 eV/f.u.

abc: 4.3086 6.4692 8.6879
angles: 109.84 90.00 109.45
Positions (direct):
Pr (0.8653, 0.7306, 0.2065)
Pr (0.1347, 0.2694, 0.7935)
Tm (0.5000, 0.0000, 0.0000)
Tm (0.6245, 0.2490, 0.4462)
Tm (0.3755, 0.7510, 0.5538)
Sb (0.8341, 0.6682, 0.7938)
Sb (0.1659, 0.3318, 0.2062)


VASP calculation (GGA-PBE) on a relaxed structure of Mg6Tl3Ag.

symmetry: P2_1/m, No. 11
DOS(E_F): 3.8 states/eV/f.u.
DFT formation energy: -5.0 kJ/mol of atoms
calculated density: 6.19 g/cm³
magnetic moment: 0.000 μB/f.u.
total energy: -20.04 eV/f.u.

abc: 4.7052 9.6140 10.4038
angles: 98.51 90.00 90.00
Positions (direct):
Mg (0.2500, 0.4506, 0.0982)
Mg (0.7500, 0.5494, 0.9018)
Mg (0.2500, 0.1526, 0.2011)
Mg (0.7500, 0.8474, 0.7989)
Mg (0.2500, 0.6504, 0.6918)
Mg (0.7500, 0.3496, 0.3082)
Mg (0.2500, 0.2073, 0.4967)
Mg (0.7500, 0.7927, 0.5033)
Mg (0.2500, 0.8841, 0.3296)
Mg (0.7500, 0.1159, 0.6704)
Mg (0.2500, 0.0525, 0.8933)
Mg (0.7500, 0.9475, 0.1067)
Tl (0.2500, 0.5560, 0.3990)
Tl (0.7500, 0.4440, 0.6010)
Tl (0.2500, 0.3410, 0.7964)
Tl (0.7500, 0.6590, 0.2036)
Tl (0.2500, 0.7606, 0.9886)
Tl (0.7500, 0.2394, 0.0114)
Ag (0.2500, 0.9312, 0.6267)
Ag (0.7500, 0.0688, 0.3733)


VASP calculation (GGA-PBE) on a relaxed structure of TaSi2Br.

distance to the lowest polymorph of the same formula: 50.3 kJ/mol of atoms
symmetry: P4/mmm, No. 123
DOS(E_F): 2.0 states/eV/f.u.
calculated density: 7.40 g/cm³
formation energy from raw total energies: 2.165 eV/f.u.
magnetic moment: 0.000 μB/f.u.
total energy: -22.21 eV/f.u.

abc: 2.8804 4.9693 4.9693
angles: 90.00 90.00 90.00
Positions (direct):
Br (0.5000, 0.0000, 0.5000)
Si (0.0000, 0.0000, 0.0000)
Si (0.0000, 0.5000, 0.5000)
Ta (0.5000, 0.5000, 0.0000)


VASP calculation (GGA-PBE) on a relaxed structure of Ba4Na2Pt.

distance to the lowest polymorph of the same formula: 0.0 kJ/mol of atoms
symmetry: C2/m, No. 12
DOS(E_F): 5.0 states/eV/f.u.
DFT formation energy: -26.5 kJ/mol of atoms
calculated density: 3.78 g/cm³
magnetic moment: 0.000 μB/f.u.
total energy: -18.29 eV/f.u.

abc: 4.7536 7.6599 10.0900
angles: 103.04 103.62 90.00
Positions (direct):
Ba (0.1323, 0.8326, 0.2646)
Ba (0.8677, 0.1674, 0.7354)
Ba (0.4365, 0.7349, 0.8730)
Ba (0.5635, 0.2651, 0.1270)
Na (0.2330, 0.3419, 0.4659)
Na (0.7670, 0.6581, 0.5341)
Pt (0.0000, 0.0000, 0.0000)


VASP calculation (GGA-PBE) on a relaxed structure of LiLa3Ga.

symmetry: Pm-3m, No. 221
DOS(E_F): 8.2 states/eV/f.u.
DFT formation energy: 29.0 kJ/mol of atoms
calculated density: 5.49 g/cm³
magnetic moment: 0.000 μB/f.u.
total energy: -18.22 eV/f.u.

abc: 5.3030 5.3030 5.3030
angles: 90.00 90.00 90.00
Positions (direct):
Li (0.0000, 0.0000, 0.0000)
Ga (0.5000, 0.5000, 0.5000)
La (0.0000, 0.5000, 0.0000)
La (0.0000, 0.0000, 0.5000)
La (0.5000, 0.0000, 0.0000)


VASP calculation (GGA-PBE) on a relaxed structure of LiLaTbCd.

symmetry: F-43m, No. 216
DOS(E_F): 5.8 states/eV/f.u.
DFT formation energy: -10.9 kJ/mol of atoms
calculated density: 6.17 g/cm³
magnetic moment: 0.023 μB/f.u.
total energy: -12.84 eV/f.u.

abc: 5.4157 5.4157 5.4157
angles: 60.00 60.00 60.00
Positions (direct):
Cd (0.7500, 0.7500, 0.7500)
Tb (0.5000, 0.5000, 0.5000)
Li (0.2500, 0.2500, 0.2500)
La (0.0000, 0.0000, 0.0000)


VASP calculation (GGA-PBE) on a relaxed structure of TmFe3B3.

distance to the lowest polymorph of the same formula: 0.0 kJ/mol of atoms
symmetry: P6_3/m, No. 176
DOS(E_F): 3.2 states/eV/f.u.
DFT formation energy: -18.0 kJ/mol of atoms
calculated density: 8.09 g/cm³
magnetic moment: 4.711 μB/f.u.
total energy: -51.20 eV/f.u.

abc: 3.0365 7.5876 7.5903
angles: 119.99 90.00 90.00
Last column: magnetic moment on the atom in μB.
Positions (direct):
Tm (0.7500, 0.3334, 0.6668)  -0.20
Tm (0.2500, 0.6666, 0.3332)  -0.20
Fe (0.7500, 0.7639, 0.0713)  1.70
Fe (0.7500, 0.3076, 0.2363)  1.70
Fe (0.7500, 0.9286, 0.6923)  1.70
Fe (0.2500, 0.2361, 0.9287)  1.70
Fe (0.2500, 0.6924, 0.7637)  1.70
Fe (0.2500, 0.0714, 0.3077)  1.70
B (0.7500, 0.9632, 0.4182)  -0.07
B (0.7500, 0.4549, 0.0368)  -0.07
B (0.7500, 0.5818, 0.5450)  -0.07
B (0.2500, 0.0368, 0.5818)  -0.07
B (0.2500, 0.5451, 0.9632)  -0.07
B (0.2500, 0.4182, 0.4550)  -0.07


VASP calculation (GGA-PBE) on a relaxed structure of ScCr2.

symmetry: Cmcm, No. 63
DOS(E_F): 3.5 states/eV/f.u.
DFT formation energy: 34.6 kJ/mol of atoms
calculated density: 5.55 g/cm³
magnetic moment: 0.012 μB/f.u.
total energy: -24.50 eV/f.u.

abc: 6.8211 6.8211 3.0020
angles: 90.00 90.00 140.37
Positions (direct):
Sc (0.9012, 0.0988, 0.2500)
Sc (0.0988, 0.9012, 0.7500)
Cr (0.5891, 0.4109, 0.2500)
Cr (0.4109, 0.5891, 0.7500)
Cr (0.2722, 0.7278, 0.2500)
Cr (0.7278, 0.2722, 0.7500)


VASP calculation (GGA-PBE) on a relaxed structure of BaSb2Au3.

symmetry: C2/m, No. 12
DOS(E_F): 1.0 states/eV/f.u.
calculated density: 10.02 g/cm³
formation energy from raw total energies: -2.725 eV/f.u.
magnetic moment: 0.000 μB/f.u.
total energy: -22.72 eV/f.u.

abc: 5.0354 8.0685 9.4973
angles: 118.88 105.37 90.00
Positions (direct):
Ba (0.1531, 0.2067, 0.3063)
Ba (0.8469, 0.7933, 0.6937)
Sb (0.4801, 0.1559, 0.9602)
Sb (0.5199, 0.8441, 0.0398)
Sb (0.1690, 0.6837, 0.3380)
Sb (0.8310, 0.3163, 0.6620)
Au (0.6311, 0.5150, 0.2622)
Au (0.9814, 0.3023, 0.9628)
Au (0.3066, 0.0478, 0.6133)
Au (0.6934, 0.9522, 0.3867)
Au (0.0186, 0.6977, 0.0372)
Au (0.3689, 0.4850, 0.7378)


VASP calculation (GGA-PBE) on a relaxed structure of La4H9.

symmetry: I4/mmm, No. 139
DOS(E_F): 3.1 states/eV/f.u.
calculated density: 5.33 g/cm³
magnetic moment: 0.000 μB/f.u.
total energy: -58.28 eV/f.u.

abc: 6.8798 6.8798 6.8798
angles: 132.07 132.07 70.12
Positions (direct):
La (0.7546, 0.7546, 0.0000)
La (0.2454, 0.2454, 0.0000)
La (0.5000, 0.0000, 0.5000)
La (0.0000, 0.5000, 0.5000)
H (0.1320, 0.1320, 0.5173)
H (0.6147, 0.6147, 0.4827)
H (0.1320, 0.6147, 0.0000)
H (0.6147, 0.1320, 0.0000)
H (0.8680, 0.8680, 0.4827)
H (0.3853, 0.3853, 0.5173)
H (0.8680, 0.3853, 0.0000)
H (0.3853, 0.8680, 0.0000)
H (0.0000, 0.0000, 0.0000)


VASP calculation (GGA-PBE) on a relaxed structure of KRbTl5.

symmetry: Pnma, No. 62
DOS(E_F): 4.4 states/eV/f.u.
DFT formation energy: -7.6 kJ/mol of atoms
calculated density: 7.41 g/cm³
magnetic moment: 0.000 μB/f.u.
total energy: -14.45 eV/f.u.

abc: 6.9278 10.5887 14.0055
angles: 90.00 90.00 90.00
Positions (direct):
K (0.2500, 0.8746, 0.8584)
K (0.7500, 0.6254, 0.3584)
K (0.2500, 0.3746, 0.6416)
K (0.7500, 0.1254, 0.1416)
Rb (0.2500, 0.2473, 0.9404)
Rb (0.7500, 0.2527, 0.4404)
Rb (0.2500, 0.7473, 0.5596)
Rb (0.7500, 0.7527, 0.0596)
Tl (0.2500, 0.6118, 0.0302)
Tl (0.7500, 0.8882, 0.5302)
Tl (0.2500, 0.1118, 0.4698)
Tl (0.7500, 0.3882, 0.9698)
Tl (0.7500, 0.3136, 0.7368)
Tl (0.2500, 0.1864, 0.2368)
Tl (0.7500, 0.8136, 0.7632)
Tl (0.2500, 0.6864, 0.2632)
Tl (0.2500, 0.9302, 0.1113)
Tl (0.7500, 0.5698, 0.6113)
Tl (0.2500, 0.4302, 0.3887)
Tl (0.7500, 0.0698, 0.8887)
Tl (0.9944, 0.4342, 0.1758)
Tl (0.0056, 0.0658, 0.6758)
Tl (0.5056, 0.9342, 0.3242)
Tl (0.4944, 0.5658, 0.8242)
Tl (0.0056, 0.5658, 0.8242)
Tl (0.9944, 0.9342, 0.3242)
Tl (0.4944, 0.0658, 0.6758)
Tl (0.5056, 0.4342, 0.1758)


VASP calculation (GGA-PBE) on a relaxed structure of MoP2Ru.

symmetry: Cmmm, No. 65
DOS(E_F): 3.0 states/eV/f.u.
DFT formation energy: 10.3 kJ/mol of atoms
calculated density: 7.52 g/cm³
magnetic moment: 0.000 μB/f.u.
total energy: -30.50 eV/f.u.

abc: 2.9294 2.9294 7.4751
angles: 90.00 90.00 116.88
Positions (direct):
Mo (0.5000, 0.5000, 0.7500)
P (0.0000, 0.0000, 0.0038)
P (0.0000, 0.0000, 0.4962)
Ru (0.5000, 0.5000, 0.2500)


VASP calculation (GGA-PBE) on a relaxed structure of NaMgSi2.

symmetry: I-42d, No. 122
DOS(E_F): 2.0 states/eV/f.u.
calculated density: 1.90 g/cm³
formation energy from raw total energies: 1.500 eV/f.u.
magnetic moment: 0.000 μB/f.u.
total energy: -12.26 eV/f.u.

abc: 4.3967 4.3967 9.8427
angles: 77.09 77.09 90.00
Positions (direct):
Na (0.5000, 0.5000, 0.0000)
Na (0.2500, 0.7500, 0.5000)
Si (0.7224, 0.1250, 0.2500)
Si (0.0276, 0.6250, 0.2500)
Si (0.3750, 0.2776, 0.7500)
Si (0.8750, 0.9724, 0.7500)
Mg (0.0000, 0.0000, 0.0000)
Mg (0.7500, 0.2500, 0.5000)


VASP calculation (GGA-PBE) on a relaxed structure of YFe2Br.

distance to the lowest polymorph of the same formula: 34.4 kJ/mol of atoms
symmetry: Imm2, No. 44
DOS(E_F): 4.2 states/eV/f.u.
calculated density: 6.06 g/cm³
formation energy from raw total energies: 0.948 eV/f.u.
magnetic moment: 4.245 μB/f.u.
total energy: -24.11 eV/f.u.

abc: 5.3190 5.3190 5.3190
angles: 141.92 122.44 71.12
Last column: magnetic moment on the atom in μB.
Positions (direct):
Br (0.7926, 0.2926, 0.5000)  0.06
Fe (0.0152, 0.0152, 0.0000)  2.27
Fe (0.1970, 0.6970, 0.5000)  2.50
Y (0.4953, 0.4953, 0.0000)  -0.33